# La6HoZn (PBE-GGA, relaxed)
data_La6HoZn
_cell_length_a 7.386
_cell_length_b 12.237
_cell_length_c 6.938
_cell_angle_alpha 90.00
_cell_angle_beta 120.48
_cell_angle_gamma 90.00
_symmetry_space_group_name_H-M 'C 1 2/m 1'
_symmetry_Int_Tables_number 12
loop_
_symmetry_equiv_pos_as_xyz
'x,y,z'
'-x,-y,-z'
'-x,y,-z'
'x,-y,z'
'x+1/2,y+1/2,z'
'-x+1/2,-y+1/2,-z'
'-x+1/2,y+1/2,-z'
'x+1/2,-y+1/2,z'
loop_
_atom_site_label
_atom_site_fract_x
_atom_site_fract_y
_atom_site_fract_z
La1 0.036 0.225 0.246
La2 0.054 0.500 0.802
Ho1 0.000 0.000 0.500
Zn1 0.000 0.000 0.000
# Calculated formation energy in eV per atom: 0.1550
# Density of states at the Fermi level in states/eV/cell: 27.4
# Calculated total energy in eV/cell: -68.353
# Density in g cm⁻³: 6.5

***

# LaHo2Zn2 (PBE-GGA, relaxed)
data_LaHo2Zn2
_cell_length_a 3.640
_cell_length_b 5.284
_cell_length_c 13.492
_cell_angle_alpha 90.00
_cell_angle_beta 97.75
_cell_angle_gamma 90.00
_symmetry_space_group_name_H-M 'P 1 21/m 1'
_symmetry_Int_Tables_number 11
loop_
_symmetry_equiv_pos_as_xyz
'x,y,z'
'-x,-y,-z'
'-x,y+1/2,-z'
'x,-y+1/2,z'
loop_
_atom_site_label
_atom_site_fract_x
_atom_site_fract_y
_atom_site_fract_z
La1 0.145 0.250 0.287
Ho1 0.047 0.750 0.094
Ho2 0.232 0.750 0.464
Zn1 0.360 0.250 0.721
Zn2 0.455 0.750 0.910
# Calculated formation energy in eV per atom: -0.2465
# Density of states at the Fermi level in states/eV/cell: 10.4
# Calculated total energy in eV/cell: -35.726
# Density in g cm⁻³: 7.7

***

# LaHo2Zn (PBE-GGA, relaxed)
data_LaHo2Zn
_cell_length_a 3.6168
_cell_length_b 3.6168
_cell_length_c 31.2693
_cell_angle_alpha 90.00
_cell_angle_beta 90.00
_cell_angle_gamma 120.00
_symmetry_space_group_name_H-M 'R 3 m'
_symmetry_Int_Tables_number 160
_symmetry_space_group_name_Hall 'R 3 -2"'
loop_
_atom_site_label
_atom_site_fract_x
_atom_site_fract_y
_atom_site_fract_z
La1 0.0000 0.0000 0.0000
Ho1 0.0000 0.0000 0.5682
Ho2 0.0000 0.0000 0.7635
Zn1 0.0000 0.0000 0.1655
# Calculated formation energy in eV per atom: -0.0454
# Density of states at the Fermi level in states/eV/cell: 13.2
# Calculated total energy in eV/cell: -46.616
# Energy above the lowest structure with this stoichiometry in eV/f.u.: 0.45
# Density in g cm⁻³: 7.5

***

# La2HoZr (PBE-GGA, relaxed)
data_La2HoZr
_cell_length_a 3.5248
_cell_length_b 3.5248
_cell_length_c 34.4505
_cell_angle_alpha 90.00
_cell_angle_beta 90.00
_cell_angle_gamma 120.00
_symmetry_space_group_name_H-M 'R 3 m'
_symmetry_Int_Tables_number 160
_symmetry_space_group_name_Hall 'R 3 -2"'
loop_
_atom_site_label
_atom_site_fract_x
_atom_site_fract_y
_atom_site_fract_z
La1 0.0000 0.0000 0.0000
La2 0.0000 0.0000 0.1751
Ho1 0.0000 0.0000 0.7561
Zr1 0.0000 0.0000 0.5867
# Calculated formation energy in eV per atom: 0.1383
# Density of states at the Fermi level in states/eV/cell: 17.6
# Calculated total energy in eV/cell: -67.283
# Energy above the lowest structure with this stoichiometry in eV/f.u.: 0.04
# Density in g cm⁻³: 7.2

***

# LaHo2Zr (PBE-GGA, relaxed)
data_LaHo2Zr
_cell_length_a 4.007
_cell_length_b 4.007
_cell_length_c 7.563
_cell_angle_alpha 90.00
_cell_angle_beta 90.00
_cell_angle_gamma 90.00
_symmetry_space_group_name_H-M 'P 4/m m m'
_symmetry_Int_Tables_number 123
_symmetry_space_group_name_Hall '-P 4 2'
loop_
_atom_site_label
_atom_site_fract_x
_atom_site_fract_y
_atom_site_fract_z
La1 0.000 0.000 0.000
Ho1 0.500 0.500 0.286
Zr1 0.000 0.000 0.500
# Calculated formation energy in eV per atom: 0.1659
# Density of states at the Fermi level in states/eV/cell: 8.7
# Calculated total energy in eV/cell: -21.968
# Energy above the lowest structure with this stoichiometry in eV/f.u.: 0.32
# Density in g cm⁻³: 7.7

***

# LaHoZr2 (PBE-GGA, relaxed)
data_LaHoZr2
_cell_length_a 3.2854
_cell_length_b 3.2854
_cell_length_c 35.1642
_cell_angle_alpha 90.00
_cell_angle_beta 90.00
_cell_angle_gamma 120.00
_symmetry_space_group_name_H-M 'R -3 m'
_symmetry_Int_Tables_number 166
_symmetry_space_group_name_Hall '-R 3 2"'
loop_
_atom_site_label
_atom_site_fract_x
_atom_site_fract_y
_atom_site_fract_z
La1 0.0000 0.0000 0.0000
Ho1 0.0000 0.0000 0.5000
Zr1 0.0000 0.0000 0.0901
# Calculated formation energy in eV per atom: 0.2611
# Density of states at the Fermi level in states/eV/cell: 17.5
# Calculated total energy in eV/cell: -76.672
# Energy above the lowest structure with this stoichiometry in eV/f.u.: 0.38
# Density in g cm⁻³: 7.4